1.
Density functional theory data (GGA-PBE) for crystalline BeCu2Ru at its relaxed geometry.

CIF file:
```
data_BeCu2Ru
_chemical_formula_sum 'Be2 Cu4 Ru2'
_space_group_name_H-M_alt 'I m m m'
_space_group_IT_number 71
_space_group_name_Hall '-I 2 2'
_cell_length_a 2.582
_cell_length_b 4.129
_cell_length_c 8.570
_cell_angle_alpha 90.00
_cell_angle_beta 90.00
_cell_angle_gamma 90.00
loop_
_atom_site_label
_atom_site_type_symbol
_atom_site_fract_x
_atom_site_fract_y
_atom_site_fract_z
_atom_site_occupancy
Be1 Be 0.000 0.000 0.000 1
Cu1 Cu 0.000 0.500 0.277 1
Ru1 Ru 0.000 0.000 0.500 1
```

## Properties
Energy of formation in eV per atom: 0.02
E in eV/atom: -5.2777

2.
Density functional theory data (GGA-PBE) for crystalline SbBr7 at its relaxed geometry.

CIF file:
```
data_SbBr7
_chemical_formula_sum 'Sb4 Br28'
_space_group_name_H-M_alt 'F m -3 m'
_space_group_IT_number 225
_space_group_name_Hall '-F 4 2 3'
_cell_length_a 9.444
_cell_length_b 9.444
_cell_length_c 9.444
_cell_angle_alpha 90.00
_cell_angle_beta 90.00
_cell_angle_gamma 90.00
loop_
_atom_site_label
_atom_site_type_symbol
_atom_site_fract_x
_atom_site_fract_y
_atom_site_fract_z
_atom_site_occupancy
Sb1 Sb 0.000 0.000 0.000 1
Br1 Br 0.000 0.000 0.500 1
Br2 Br 0.000 0.250 0.250 1
```

## Properties
Raw formation energy in eV per atom: 0.454
E in eV/atom: -1.5249

3.
Density functional theory data (GGA-PBE) for crystalline Rb3Pb2Br2Cl5 at its relaxed geometry.

CIF file:
```
data_Rb3Pb2Br2Cl5
_chemical_formula_sum 'Rb6 Pb4 Br4 Cl10'
_space_group_name_H-M_alt 'I 4/m m m'
_space_group_IT_number 139
_space_group_name_Hall '-I 4 2'
_cell_length_a 5.697
_cell_length_b 5.697
_cell_length_c 28.783
_cell_angle_alpha 90.00
_cell_angle_beta 90.00
_cell_angle_gamma 90.00
loop_
_atom_site_label
_atom_site_type_symbol
_atom_site_fract_x
_atom_site_fract_y
_atom_site_fract_z
_atom_site_occupancy
Rb1 Rb 0.000 0.000 0.000 1
Rb2 Rb 0.000 0.000 0.178 1
Pb1 Pb 0.000 0.000 0.399 1
Br1 Br 0.000 0.000 0.296 1
Cl1 Cl 0.000 0.000 0.500 1
Cl2 Cl 0.000 0.500 0.097 1
```

## Properties
Raw formation energy in eV per atom: -1.487
E in eV/atom: -3.3948

4.
Density functional theory data (GGA-PBE) for crystalline Ta2ReMoH at its relaxed geometry.

CIF file:
```
data_Ta2ReMoH
_chemical_formula_sum 'Ta2 Re1 Mo1 H1'
_space_group_name_H-M_alt 'P 4/m m m'
_space_group_IT_number 123
_space_group_name_Hall '-P 4 2'
_cell_length_a 4.493
_cell_length_b 4.493
_cell_length_c 3.457
_cell_angle_alpha 90.00
_cell_angle_beta 90.00
_cell_angle_gamma 90.00
loop_
_atom_site_label
_atom_site_type_symbol
_atom_site_fract_x
_atom_site_fract_y
_atom_site_fract_z
_atom_site_occupancy
Ta1 Ta 0.000 0.500 0.000 1
Re1 Re 0.000 0.000 0.500 1
Mo1 Mo 0.500 0.500 0.500 1
H1 H 0.000 0.000 0.000 1
```

## Properties
E in eV/atom: -10.1467

5.
Density functional theory data (GGA-PBE) for crystalline CePm3Sm4S8 at its relaxed geometry.

CIF file:
```
data_CePm3Sm4S8
_chemical_formula_sum 'Ce3 Pm9 Sm12 S24'
_space_group_name_H-M_alt 'R -3 m'
_space_group_IT_number 166
_space_group_name_Hall '-R 3 2"'
_cell_length_a 8.0381
_cell_length_b 8.0381
_cell_length_c 19.6927
_cell_angle_alpha 90.00
_cell_angle_beta 90.00
_cell_angle_gamma 120.00
loop_
_atom_site_label
_atom_site_type_symbol
_atom_site_fract_x
_atom_site_fract_y
_atom_site_fract_z
_atom_site_occupancy
Ce1 Ce 0.0000 0.0000 0.0000 1
Pm1 Pm 0.0000 0.5000 0.0000 1
Sm1 Sm 0.0000 0.0000 0.5000 1
Sm2 Sm 0.0000 0.5000 0.5000 1
S1 S 0.0000 0.0000 0.2492 1
S2 S 0.0012 0.5006 0.7505 1
```

## Properties
Raw formation energy in eV per atom: -2.033
E in eV/atom: -6.5380

6.
Density functional theory data (GGA-PBE) for crystalline Cs2MgCd3Pb4 at its relaxed geometry.

CIF file:
```
data_Cs2MgCd3Pb4
_chemical_formula_sum 'Cs2 Mg1 Cd3 Pb4'
_space_group_name_H-M_alt 'P -4 m 2'
_space_group_IT_number 115
_space_group_name_Hall 'P -4 -2'
_cell_length_a 5.150
_cell_length_b 5.150
_cell_length_c 13.072
_cell_angle_alpha 90.00
_cell_angle_beta 90.00
_cell_angle_gamma 90.00
loop_
_atom_site_label
_atom_site_type_symbol
_atom_site_fract_x
_atom_site_fract_y
_atom_site_fract_z
_atom_site_occupancy
Cs1 Cs 0.000 0.500 0.246 1
Mg1 Mg 0.500 0.500 0.000 1
Cd1 Cd 0.000 0.000 0.000 1
Cd2 Cd 0.000 0.500 0.639 1
Pb1 Pb 0.000 0.000 0.500 1
Pb2 Pb 0.000 0.500 0.873 1
Pb3 Pb 0.500 0.500 0.500 1
```

## Properties
Energy of formation in eV per atom: -0.09
E in eV/atom: -2.1823